Entry from the Alexandria database: crystalline UCdTeO6 at its relaxed geometry (PBE). Values from VASP.

Quantum ESPRESSO input file:
```
&SYSTEM
  ibrav = 0, nat = 18, ntyp = 4
/
ATOMIC_SPECIES
U 238.03 U.upf
Cd 112.41 Cd.upf
Te 127.60 Te.upf
O 16.00 O.upf
CELL_PARAMETERS angstrom
5.729 0.000 0.000
-2.865 4.962 0.000
0.000 0.000 9.472
ATOMIC_POSITIONS crystal
U 0.333 0.667 0.250
U 0.667 0.333 0.750
Cd 0.000 0.000 0.000
Cd 0.000 0.000 0.500
Te 0.333 0.667 0.750
Te 0.667 0.333 0.250
O 0.010 0.359 0.136
O 0.010 0.651 0.364
O 0.349 0.359 0.364
O 0.349 0.990 0.136
O 0.359 0.010 0.636
O 0.359 0.349 0.864
O 0.641 0.651 0.136
O 0.641 0.990 0.364
O 0.651 0.010 0.864
O 0.651 0.641 0.636
O 0.990 0.349 0.636
O 0.990 0.641 0.864
```

**E_form (uncorrected)**: -1868 meV/atom
**Symmetry**: P-31c